Li2DyUSe4: optimized geometry, PBE-GGA.

The structure in POSCAR format:
```
Li2DyUSe4
1.0
4.052 0.000 0.000
0.000 7.042 0.122
0.000 -2.455 6.497
Dy Se U Li
1 4 1 2
Cartesian
0.000 0.000 0.000
2.026 1.138 1.693
0.000 4.682 1.769
2.026 3.450 4.927
0.000 -0.094 4.851
2.026 3.521 0.061
0.000 2.294 3.310
2.026 -1.227 3.249
```

Summary:
Spin magnetization: 0.37 μB/atom
Formation energy without anion corrections: -1419 meV per atom
Crystal system: monoclinic
Space group: P2/m, No. 10